1.
Material: Ga2Ni
Method: DFT, PBE
State: optimized geometry

## Properties
As for the total energy: -21.3 eV for the cell shown.

Cell lengths 5.0280, 5.0280, 5.0280 Å; angles 60.00, 60.00, 60.00 degrees
Fractional positions:
Ni1 0.2500 0.2500 0.2500
Ni2 0.0000 0.0000 0.0000
Ga1 0.6250 0.6250 0.1250
Ga2 0.1250 0.6250 0.6250
Ga3 0.6250 0.6250 0.6250
Ga4 0.6250 0.1250 0.6250


2.
Material: ZrBr2Cl
Method: DFT, PBE
State: optimized geometry

## Properties
As for the total energy: -39.4 eV for the cell shown.

Cell lengths 7.0555, 7.0555, 6.2011 Å; angles 90.00, 90.00, 58.40 degrees
Fractional positions:
Zr1 0.0000 0.0000 0.0000
Zr2 0.0000 0.0000 0.5000
Br1 0.9917 0.3205 0.7500
Br2 0.6795 0.0083 0.7500
Br3 0.3205 0.9917 0.2500
Br4 0.0083 0.6795 0.2500
Cl1 0.7034 0.2966 0.2500
Cl2 0.2966 0.7034 0.7500


3.
Material: LuAlFeRe
Method: DFT, PBE
State: optimized geometry

## Properties
For the excess energy over the best structure of this formula in the dataset, the calculation gives 0 meV/atom.

Cell lengths 4.4816, 4.4816, 4.4816 Å; angles 60.00, 60.00, 60.00 degrees
Fractional positions:
Re1 0.2500 0.2500 0.2500
Lu1 0.5000 0.5000 0.5000
Fe1 0.7500 0.7500 0.7500
Al1 0.0000 0.0000 0.0000


4.
Material: Y2NbB6
Method: DFT, PBE
State: optimized geometry

## Properties
As for the total energy: -273.3 eV for the cell shown.

Cell lengths 9.4064, 11.7688, 3.6832 Å; angles 90.00, 90.00, 90.00 degrees
Fractional positions:
B1 0.0523 0.4359 0.5000
B2 0.1320 0.1815 0.5000
B3 0.7522 0.0772 0.5000
B4 0.4477 0.9359 0.5000
B5 0.0217 0.7119 0.5000
B6 0.2478 0.9228 0.5000
B7 0.7957 0.2388 0.5000
B8 0.2043 0.7612 0.5000
B9 0.4783 0.2119 0.5000
B10 0.7478 0.5772 0.5000
B11 0.6010 0.4718 0.5000
B12 0.8680 0.8185 0.5000
B13 0.2522 0.4228 0.5000
B14 0.5523 0.0641 0.5000
B15 0.6320 0.3185 0.5000
B16 0.7043 0.7388 0.5000
B17 0.9477 0.5641 0.5000
B18 0.8990 0.9718 0.5000
B19 0.2957 0.2612 0.5000
B20 0.5217 0.7881 0.5000
B21 0.3990 0.5282 0.5000
B22 0.1010 0.0282 0.5000
B23 0.9783 0.2881 0.5000
B24 0.3680 0.6815 0.5000
Nb1 0.3592 0.8204 0.0000
Nb2 0.1408 0.3204 0.0000
Nb3 0.8592 0.6796 0.0000
Nb4 0.6408 0.1796 0.0000
Y1 0.9431 0.1290 0.0000
Y2 0.1776 0.5863 0.0000
Y3 0.8224 0.4137 0.0000
Y4 0.4431 0.3710 0.0000
Y5 0.0569 0.8710 0.0000
Y6 0.3224 0.0863 0.0000
Y7 0.5569 0.6290 0.0000
Y8 0.6776 0.9137 0.0000


no.,M_tot (μB/f.u.)
1,0.0
2,0.0
3,2.3
4,0.0